# MnAl2S (GGA-PBE, optimized geometry)
data_MnAl2S
_chemical_formula_sum 'Mn4 Al8 S4'
_cell_length_a 7.022
_cell_length_b 7.022
_cell_length_c 5.439
_cell_angle_alpha 90.00
_cell_angle_beta 90.00
_cell_angle_gamma 90.00
_space_group_name_H-M_alt 'I -4 2 d'
_space_group_IT_number 122
_space_group_name_Hall 'I -4 2bw'
loop_
_atom_site_label
_atom_site_fract_x
_atom_site_fract_y
_atom_site_fract_z
Mn1 0.000 0.000 0.000
Al1 0.224 0.750 0.625
S1 0.000 0.000 0.500
# * crystal system: tetragonal
# * total DFT energy (no corrections): -5.143 eV per atom
# * formation energy without anion corrections: 0.053 eV per atom